DFT (PBE) results for a relaxed structure of La2Os.

Cell: 7.4500 7.4500 6.3567 Å, 103.04 103.04 33.69°
Fractional coordinates of all 6 atoms:
La 0.1076 0.1076 0.3180
La 0.3433 0.3433 0.1774
La 0.6567 0.6567 0.8226
La 0.8924 0.8924 0.6820
Os 0.2678 0.2678 0.6853
Os 0.7322 0.7322 0.3147

Summary:
**Spin magnetization**: 0.0 Bohr magnetons per cell
**Energy of formation from the pure elements**: -0.130 eV/atom
**Uncorrected energy**: -7.1577 eV per atom
**Space group**: No. 12